[1]
# InW2Br PBE relaxed
# E_form (uncorrected): 331 meV/atom
# magnetization: 0.0 μB/f.u.
# relative energy among the computed polymorphs: 0 meV per atom
# E_tot: -0.5328 Ry/atom
# density of states at the Fermi level: 1.96 states/eV/cell
# space-group type: Pm, No. 6
data_InW2Br
_chemical_formula_sum 'In1 W2 Br1'
_cell_length_a 3.1482
_cell_length_b 3.3320
_cell_length_c 8.5446
_cell_angle_alpha 78.60
_cell_angle_beta 90.00
_cell_angle_gamma 90.00
_symmetry_space_group_name_H-M 'P 1'
_symmetry_Int_Tables_number 1
loop_
_symmetry_equiv_pos_as_xyz
'x,y,z'
loop_
_atom_site_label
_atom_site_type_symbol
_atom_site_fract_x
_atom_site_fract_y
_atom_site_fract_z
Br1 Br 0.0000 0.3356 0.4495
W1 W 0.0000 0.0458 0.0349
W2 W 0.5000 0.4617 0.2001
In1 In 0.5000 0.6569 0.8155


[2]
# HgBiBr3 PBE relaxed
# E_form (uncorrected): -511 meV/atom
# magnetization: 0.0 μB/f.u.
# relative energy among the computed polymorphs: 1 meV per atom
# E_tot: -0.1728 Ry/atom
# space-group type: R-3m, No. 166
data_HgBiBr3
_chemical_formula_sum 'Hg2 Bi2 Br6'
_cell_length_a 7.8465
_cell_length_b 7.8467
_cell_length_c 8.7168
_cell_angle_alpha 90.01
_cell_angle_beta 63.26
_cell_angle_gamma 60.00
_symmetry_space_group_name_H-M 'P 1'
_symmetry_Int_Tables_number 1
loop_
_symmetry_equiv_pos_as_xyz
'x,y,z'
loop_
_atom_site_label
_atom_site_type_symbol
_atom_site_fract_x
_atom_site_fract_y
_atom_site_fract_z
Hg1 Hg 0.8760 0.5167 0.4954
Hg2 Hg 0.5504 0.6797 0.9837
Bi1 Bi 0.0453 0.9322 0.7414
Bi2 Bi 0.3811 0.2643 0.7377
Br1 Br 0.3786 0.0154 0.4914
Br2 Br 0.0477 0.6809 0.9878
Br3 Br 0.5477 0.1811 0.9878
Br4 Br 0.0478 0.1810 0.9878
Br5 Br 0.3786 0.5155 0.4913
Br6 Br 0.8787 0.0154 0.4914


[3]
# KBa2SbF PBE relaxed
# E_form (uncorrected): -1491 meV/atom
# magnetization: 0.0 μB/f.u.
# E_tot: -0.2703 Ry/atom
# density of states at the Fermi level: 2.46 states/eV/cell
# space-group type: P4/mmm, No. 123
data_KBa2SbF
_chemical_formula_sum 'K1 Ba2 Sb1 F1'
_cell_length_a 5.5963
_cell_length_b 5.5963
_cell_length_c 5.1765
_cell_angle_alpha 90.00
_cell_angle_beta 90.00
_cell_angle_gamma 90.00
_symmetry_space_group_name_H-M 'P 1'
_symmetry_Int_Tables_number 1
loop_
_symmetry_equiv_pos_as_xyz
'x,y,z'
loop_
_atom_site_label
_atom_site_type_symbol
_atom_site_fract_x
_atom_site_fract_y
_atom_site_fract_z
Sb1 Sb 0.5000 0.5000 0.5000
K1 K 0.0000 0.0000 0.5000
Ba1 Ba 0.0000 0.5000 0.0000
Ba2 Ba 0.5000 0.0000 0.0000
F1 F 0.0000 0.0000 0.0000


[4]
# Cd2GeRh2 PBE relaxed
# magnetization: 0.0 μB/f.u.
# energy relative to the elements: -29.35 kJ per mole of atoms
# E_tot: -0.3333 Ry/atom
# density of states at the Fermi level: 6.09 states/eV/cell
# space-group type: P4/mbm, No. 127
data_Cd2GeRh2
_chemical_formula_sum 'Cd4 Ge2 Rh4'
_cell_length_a 6.3320
_cell_length_b 6.3320
_cell_length_c 4.4381
_cell_angle_alpha 90.00
_cell_angle_beta 90.00
_cell_angle_gamma 90.00
_symmetry_space_group_name_H-M 'P 1'
_symmetry_Int_Tables_number 1
loop_
_symmetry_equiv_pos_as_xyz
'x,y,z'
loop_
_atom_site_label
_atom_site_type_symbol
_atom_site_fract_x
_atom_site_fract_y
_atom_site_fract_z
Ge1 Ge 0.0000 0.0000 0.0000
Ge2 Ge 0.5000 0.5000 0.0000
Rh1 Rh 0.3486 0.8486 0.0000
Rh2 Rh 0.8486 0.6514 0.0000
Rh3 Rh 0.6514 0.1514 0.0000
Rh4 Rh 0.1514 0.3486 0.0000
Cd1 Cd 0.1594 0.6594 0.5000
Cd2 Cd 0.6594 0.8406 0.5000
Cd3 Cd 0.8406 0.3406 0.5000
Cd4 Cd 0.3406 0.1594 0.5000


[5]
# Hg3Bi5Pb12 PBE relaxed
# magnetization: 0.0 μB/f.u.
# energy relative to the elements: 16.82 kJ per mole of atoms
# E_tot: -0.2254 Ry/atom
# density of states at the Fermi level: 27.74 states/eV/cell
# space-group type: Ia-3d, No. 230
data_Hg3Bi5Pb12
_chemical_formula_sum 'Hg12 Bi20 Pb48'
_cell_length_a 15.8543
_cell_length_b 15.8543
_cell_length_c 15.8543
_cell_angle_alpha 109.47
_cell_angle_beta 109.47
_cell_angle_gamma 109.47
_symmetry_space_group_name_H-M 'P 1'
_symmetry_Int_Tables_number 1
loop_
_symmetry_equiv_pos_as_xyz
'x,y,z'
loop_
_atom_site_label
_atom_site_type_symbol
_atom_site_fract_x
_atom_site_fract_y
_atom_site_fract_z
Hg1 Hg 0.7500 0.3750 0.1250
Hg2 Hg 0.8750 0.7500 0.1250
Hg3 Hg 0.3750 0.7500 0.6250
Hg4 Hg 0.2500 0.1250 0.3750
Hg5 Hg 0.8750 0.1250 0.2500
Hg6 Hg 0.3750 0.6250 0.2500
Hg7 Hg 0.6250 0.3750 0.7500
Hg8 Hg 0.1250 0.8750 0.7500
Hg9 Hg 0.7500 0.8750 0.6250
Hg10 Hg 0.6250 0.2500 0.3750
Hg11 Hg 0.1250 0.2500 0.8750
Hg12 Hg 0.2500 0.6250 0.8750
Bi1 Bi 0.1250 0.3750 0.2500
Bi2 Bi 0.0000 0.5000 0.0000
Bi3 Bi 0.0000 0.0000 0.0000
Bi4 Bi 0.3750 0.2500 0.1250
Bi5 Bi 0.5000 0.0000 0.5000
Bi6 Bi 0.5000 0.5000 0.0000
Bi7 Bi 0.1250 0.7500 0.3750
Bi8 Bi 0.7500 0.1250 0.8750
Bi9 Bi 0.7500 0.6250 0.3750
Bi10 Bi 0.3750 0.1250 0.7500
Bi11 Bi 0.6250 0.8750 0.2500
Bi12 Bi 0.5000 0.5000 0.5000
Bi13 Bi 0.5000 0.0000 0.0000
Bi14 Bi 0.0000 0.0000 0.5000
Bi15 Bi 0.2500 0.3750 0.6250
Bi16 Bi 0.2500 0.8750 0.1250
Bi17 Bi 0.0000 0.5000 0.5000
Bi18 Bi 0.8750 0.2500 0.6250
Bi19 Bi 0.6250 0.7500 0.8750
Bi20 Bi 0.8750 0.6250 0.7500
Pb1 Pb 0.7391 0.1322 0.0687
Pb2 Pb 0.3296 0.5687 0.4365
Pb3 Pb 0.9313 0.3678 0.2609
Pb4 Pb 0.5687 0.2391 0.1322
Pb5 Pb 0.6068 0.7391 0.6704
Pb6 Pb 0.9313 0.5635 0.1704
Pb7 Pb 0.3296 0.7609 0.3932
Pb8 Pb 0.0635 0.8932 0.1322
Pb9 Pb 0.5635 0.9313 0.6704
Pb10 Pb 0.7391 0.6068 0.1704
Pb11 Pb 0.7609 0.4313 0.3678
Pb12 Pb 0.8296 0.9365 0.0687
Pb13 Pb 0.1322 0.7391 0.5687
Pb14 Pb 0.3678 0.4365 0.1068
Pb15 Pb 0.1068 0.9365 0.3678
Pb16 Pb 0.3932 0.1322 0.5635
Pb17 Pb 0.1068 0.1704 0.2391
Pb18 Pb 0.4313 0.6704 0.0635
Pb19 Pb 0.8296 0.8932 0.2609
Pb20 Pb 0.1322 0.3932 0.0635
Pb21 Pb 0.3678 0.9313 0.7609
Pb22 Pb 0.5635 0.6322 0.3932
Pb23 Pb 0.9365 0.8296 0.5687
Pb24 Pb 0.7609 0.3296 0.8932
Pb25 Pb 0.4365 0.3678 0.6068
Pb26 Pb 0.0635 0.1704 0.4313
Pb27 Pb 0.2391 0.6704 0.1068
Pb28 Pb 0.1704 0.1068 0.7391
Pb29 Pb 0.6322 0.0687 0.2391
Pb30 Pb 0.8678 0.6068 0.9365
Pb31 Pb 0.5687 0.3296 0.9365
Pb32 Pb 0.6068 0.8678 0.4365
Pb33 Pb 0.8932 0.8296 0.7609
Pb34 Pb 0.8932 0.0635 0.6322
Pb35 Pb 0.8678 0.2609 0.4313
Pb36 Pb 0.1704 0.0635 0.9313
Pb37 Pb 0.6322 0.5635 0.8932
Pb38 Pb 0.4365 0.0687 0.3296
Pb39 Pb 0.2609 0.3932 0.8296
Pb40 Pb 0.2391 0.5687 0.6322
Pb41 Pb 0.9365 0.1068 0.8678
Pb42 Pb 0.6704 0.2391 0.6068
Pb43 Pb 0.4313 0.7609 0.8678
Pb44 Pb 0.0687 0.4365 0.8296
Pb45 Pb 0.3932 0.2609 0.3296
Pb46 Pb 0.0687 0.6322 0.7391
Pb47 Pb 0.6704 0.4313 0.5635
Pb48 Pb 0.2609 0.8678 0.9313


[6]
# Sr2Cd3Ag4Hg PBE relaxed
# magnetization: 0.0 μB/f.u.
# energy relative to the elements: -20.75 kJ per mole of atoms
# E_tot: -0.1467 Ry/atom
# density of states at the Fermi level: 2.10 states/eV/cell
# space-group type: P-4m2, No. 115
data_Sr2Cd3Ag4Hg
_chemical_formula_sum 'Sr2 Cd3 Ag4 Hg1'
_cell_length_a 4.7558
_cell_length_b 4.7558
_cell_length_c 11.5382
_cell_angle_alpha 90.00
_cell_angle_beta 90.00
_cell_angle_gamma 90.00
_symmetry_space_group_name_H-M 'P 1'
_symmetry_Int_Tables_number 1
loop_
_symmetry_equiv_pos_as_xyz
'x,y,z'
loop_
_atom_site_label
_atom_site_type_symbol
_atom_site_fract_x
_atom_site_fract_y
_atom_site_fract_z
Sr1 Sr 0.5000 0.0000 0.2464
Sr2 Sr 0.0000 0.5000 0.7536
Cd1 Cd 0.0000 0.0000 0.5000
Cd2 Cd 0.5000 0.0000 0.8728
Cd3 Cd 0.0000 0.5000 0.1272
Ag1 Ag 0.5000 0.5000 0.0000
Ag2 Ag 0.0000 0.0000 0.0000
Ag3 Ag 0.5000 0.0000 0.6379
Ag4 Ag 0.0000 0.5000 0.3621
Hg1 Hg 0.5000 0.5000 0.5000


[7]
# RbMgCo2Cl8 PBE relaxed
# E_form (uncorrected): -1100 meV/atom
# magnetization: 7.0 μB/f.u.
# E_tot: -0.2741 Ry/atom
# density of states at the Fermi level: 13.60 states/eV/cell
# space-group type: R-3, No. 148
data_RbMgCo2Cl8
_chemical_formula_sum 'Rb1 Mg1 Co2 Cl8'
_cell_length_a 6.3488
_cell_length_b 6.3488
_cell_length_c 10.1485
_cell_angle_alpha 71.77
_cell_angle_beta 71.77
_cell_angle_gamma 60.00
_symmetry_space_group_name_H-M 'P 1'
_symmetry_Int_Tables_number 1
loop_
_symmetry_equiv_pos_as_xyz
'x,y,z'
loop_
_atom_site_label
_atom_site_type_symbol
_atom_site_fract_x
_atom_site_fract_y
_atom_site_fract_z
Rb1 Rb 0.5000 0.5000 0.5000
Mg1 Mg 0.0000 0.0000 0.0000
Co1 Co 0.2575 0.2575 0.2274
Co2 Co 0.7425 0.7425 0.7726
Cl1 Cl 0.1806 0.1806 0.4583
Cl2 Cl 0.6224 0.2688 0.1584
Cl3 Cl 0.8194 0.8194 0.5417
Cl4 Cl 0.9505 0.6224 0.1584
Cl5 Cl 0.0495 0.3776 0.8416
Cl6 Cl 0.2688 0.9505 0.1584
Cl7 Cl 0.7312 0.0495 0.8416
Cl8 Cl 0.3776 0.7312 0.8416


[8]
# PmScZnPd PBE relaxed
# magnetization: 0.0 μB/f.u.
# energy relative to the elements: -55.63 kJ per mole of atoms
# relative energy among the computed polymorphs: 0 meV per atom
# E_tot: -0.3648 Ry/atom
# density of states at the Fermi level: 3.57 states/eV/cell
# space-group type: P4mm, No. 99
data_PmScZnPd
_chemical_formula_sum 'Pm1 Sc1 Zn1 Pd1'
_cell_length_a 3.4774
_cell_length_b 3.4774
_cell_length_c 6.9642
_cell_angle_alpha 90.00
_cell_angle_beta 90.00
_cell_angle_gamma 90.00
_symmetry_space_group_name_H-M 'P 1'
_symmetry_Int_Tables_number 1
loop_
_symmetry_equiv_pos_as_xyz
'x,y,z'
loop_
_atom_site_label
_atom_site_type_symbol
_atom_site_fract_x
_atom_site_fract_y
_atom_site_fract_z
Pm1 Pm 0.5000 0.5000 0.1049
Sc1 Sc 0.5000 0.5000 0.6122
Zn1 Zn 0.0000 0.0000 0.3935
Pd1 Pd 0.0000 0.0000 0.8173


[9]
# Be2PPb PBE relaxed
# magnetization: 0.0 μB/f.u.
# energy relative to the elements: 14.07 kJ per mole of atoms
# relative energy among the computed polymorphs: 0 meV per atom
# E_tot: -0.2938 Ry/atom
# density of states at the Fermi level: 1.18 states/eV/cell
# space-group type: Pm, No. 6
data_Be2PPb
_chemical_formula_sum 'Be2 P1 Pb1'
_cell_length_a 3.4832
_cell_length_b 3.4891
_cell_length_c 6.0853
_cell_angle_alpha 82.69
_cell_angle_beta 90.00
_cell_angle_gamma 90.00
_symmetry_space_group_name_H-M 'P 1'
_symmetry_Int_Tables_number 1
loop_
_symmetry_equiv_pos_as_xyz
'x,y,z'
loop_
_atom_site_label
_atom_site_type_symbol
_atom_site_fract_x
_atom_site_fract_y
_atom_site_fract_z
Pb1 Pb 0.5000 0.9286 0.7858
P1 P 0.0000 0.3323 0.3660
Be1 Be 0.0000 0.8748 0.1753
Be2 Be 0.5000 0.3642 0.1729


[10]
# Ag3OsC PBE relaxed
# magnetization: 2.0 μB/f.u.
# energy relative to the elements: 147.06 kJ per mole of atoms
# relative energy among the computed polymorphs: 0 meV per atom
# E_tot: -0.3144 Ry/atom
# density of states at the Fermi level: 3.27 states/eV/cell
# space-group type: Pm-3m, No. 221
data_Ag3OsC
_chemical_formula_sum 'Ag3 Os1 C1'
_cell_length_a 4.2670
_cell_length_b 4.2670
_cell_length_c 4.2670
_cell_angle_alpha 90.00
_cell_angle_beta 90.00
_cell_angle_gamma 90.00
_symmetry_space_group_name_H-M 'P 1'
_symmetry_Int_Tables_number 1
loop_
_symmetry_equiv_pos_as_xyz
'x,y,z'
loop_
_atom_site_label
_atom_site_type_symbol
_atom_site_fract_x
_atom_site_fract_y
_atom_site_fract_z
C1 C 0.0000 0.0000 0.0000
Os1 Os 0.5000 0.5000 0.5000
Ag1 Ag 0.0000 0.5000 0.0000
Ag2 Ag 0.0000 0.0000 0.5000
Ag3 Ag 0.5000 0.0000 0.0000


[11]
# Pr8ZnRh3I4 PBE relaxed
# E_form (uncorrected): -823 meV/atom
# magnetization: 0.0 μB/f.u.
# E_tot: -0.3718 Ry/atom
# density of states at the Fermi level: 11.96 states/eV/cell
# space-group type: R-3m, No. 166
data_Pr8ZnRh3I4
_chemical_formula_sum 'Pr8 Zn1 Rh3 I4'
_cell_length_a 8.5264
_cell_length_b 9.5274
_cell_length_c 8.5261
_cell_angle_alpha 116.58
_cell_angle_beta 120.00
_cell_angle_gamma 90.00
_symmetry_space_group_name_H-M 'P 1'
_symmetry_Int_Tables_number 1
loop_
_symmetry_equiv_pos_as_xyz
'x,y,z'
loop_
_atom_site_label
_atom_site_type_symbol
_atom_site_fract_x
_atom_site_fract_y
_atom_site_fract_z
Pr1 Pr 0.2357 0.6869 0.9515
Pr2 Pr 0.2356 0.6870 0.4713
Pr3 Pr 0.2699 0.3099 0.5398
Pr4 Pr 0.7158 0.6869 0.9515
Pr5 Pr 0.2842 0.3131 0.0485
Pr6 Pr 0.7301 0.6901 0.4602
Pr7 Pr 0.7644 0.3130 0.5287
Pr8 Pr 0.7643 0.3131 0.0485
Zn1 Zn 0.0000 0.5000 0.0000
Rh1 Rh 0.5000 0.5000 0.0000
Rh2 Rh 0.5000 0.5000 0.5000
Rh3 Rh 0.0000 0.5000 0.5000
I1 I 0.5000 0.0000 0.0000
I2 I 0.5000 0.0000 0.5000
I3 I 0.0000 0.0000 0.0000
I4 I 0.0000 0.0000 0.5000


[12]
# Ce3NdSe6 PBE relaxed
# E_form (uncorrected): -1808 meV/atom
# magnetization: 2.8 μB/f.u.
# relative energy among the computed polymorphs: 0 meV per atom
# E_tot: -0.4524 Ry/atom
# density of states at the Fermi level: 42.23 states/eV/cell
# space-group type: P2_1/m, No. 11
data_Ce3NdSe6
_chemical_formula_sum 'Ce6 Nd2 Se12'
_cell_length_a 4.2337
_cell_length_b 11.7549
_cell_length_c 12.2126
_cell_angle_alpha 107.90
_cell_angle_beta 90.00
_cell_angle_gamma 90.00
_symmetry_space_group_name_H-M 'P 1'
_symmetry_Int_Tables_number 1
loop_
_symmetry_equiv_pos_as_xyz
'x,y,z'
loop_
_atom_site_label
_atom_site_type_symbol
_atom_site_fract_x
_atom_site_fract_y
_atom_site_fract_z
Ce1 Ce 0.7500 0.4289 0.8300
Ce2 Ce 0.2500 0.5711 0.1700
Ce3 Ce 0.7500 0.6856 0.5041
Ce4 Ce 0.2500 0.3144 0.4959
Ce5 Ce 0.7500 0.1590 0.0809
Ce6 Ce 0.2500 0.8410 0.9191
Nd1 Nd 0.7500 0.0452 0.6912
Nd2 Nd 0.2500 0.9548 0.3088
Se1 Se 0.7500 0.4807 0.6141
Se2 Se 0.2500 0.5193 0.3859
Se3 Se 0.7500 0.9156 0.0989
Se4 Se 0.2500 0.0844 0.9011
Se5 Se 0.7500 0.4001 0.0629
Se6 Se 0.2500 0.5999 0.9371
Se7 Se 0.7500 0.7476 0.2780
Se8 Se 0.2500 0.2524 0.7220
Se9 Se 0.7500 0.1138 0.4632
Se10 Se 0.2500 0.8862 0.5368
Se11 Se 0.7500 0.8098 0.7518
Se12 Se 0.2500 0.1902 0.2482